No. 1
{
  "formula": "Na2CdPbSe2S2",
  "functional": "PBE",
  "state": "optimized geometry",
  "rho_g_cm3": 4.1,
  "space_group": "C2",
  "total_energy_ev_per_atom": -3.446,
  "lattice_angstrom": [[4.710, -5.305, 0.000], [4.710, 5.305, 0.000], [-4.643, 0.000, 4.768]],
  "species": ["Se", "Se", "S", "S", "Cd", "Pb", "Na", "Na"],
  "fractional_positions": [[0.638, 0.854, 0.975], [0.146, 0.362, 0.025], [0.920, 0.653, 0.527], [0.347, 0.080, 0.473], [0.021, 0.979, 0.000], [0.262, 0.738, 0.500], [0.748, 0.252, 0.500], [0.531, 0.469, 0.000]]
}

***

No. 2
{
  "formula": "Na2CdPbSe4",
  "functional": "PBE",
  "state": "optimized geometry",
  "rho_g_cm3": 4.5,
  "space_group": "C2",
  "total_energy_ev_per_atom": -3.280,
  "lattice_angstrom": [[-2.817, 6.551, 0.214], [-2.051, -1.468, 6.673], [6.699, -0.759, -1.736]],
  "species": ["Pb", "Se", "Se", "Se", "Se", "Cd", "Na", "Na"],
  "fractional_positions": [[0.264, 0.736, 0.000], [0.353, 0.088, 0.977], [0.912, 0.647, 0.023], [0.639, 0.848, 0.465], [0.152, 0.361, 0.535], [0.014, 0.986, 0.500], [0.515, 0.485, 0.500], [0.764, 0.236, 0.000]]
}

***

No. 3
{
  "formula": "Na4Cd2SnPb",
  "functional": "PBE",
  "state": "optimized geometry",
  "rho_g_cm3": 4.8,
  "space_group": "P-6m2",
  "total_energy_ev_per_atom": -2.035,
  "lattice_angstrom": [[5.086, 0.000, 0.000], [-2.543, 4.405, 0.000], [0.000, 0.000, 10.026]],
  "species": ["Pb", "Sn", "Na", "Na", "Na", "Na", "Cd", "Cd"],
  "fractional_positions": [[0.000, 0.000, 0.000], [0.667, 0.333, 0.500], [0.667, 0.333, 0.172], [0.667, 0.333, 0.828], [0.000, 0.000, 0.667], [0.000, 0.000, 0.333], [0.333, 0.667, 0.500], [0.333, 0.667, 0.000]]
}